A relaxed V4CrMo5 crystal, computed with GGA-PBE.

Cell: 3.0621 3.0621 15.3114 Å, 90.00 90.00 90.00°
Last column: nearest neighbours and their distance in Å.
Sites, in units of the cell vectors:
V1 0.0000 0.0000 0.1005  8 Mo 2.66
V2 0.0000 0.0000 0.3012  8 Mo 2.65-2.66
V3 0.0000 0.0000 0.6988  8 Mo 2.65-2.66
V4 0.0000 0.0000 0.8995  8 Mo 2.66
Cr1 0.0000 0.0000 0.5000  8 Mo 2.63
Mo1 0.5000 0.5000 0.0000  8 V 2.66
Mo2 0.5000 0.5000 0.2016  8 V 2.65-2.66
Mo3 0.5000 0.5000 0.4026  4 Cr 2.63, 4 V 2.66
Mo4 0.5000 0.5000 0.5974  4 Cr 2.63, 4 V 2.66
Mo5 0.5000 0.5000 0.7984  8 V 2.65-2.66

Summary:
- SG = P4/mmm, No. 123
- energy of formation from the pure elements (meV/atom) = -110
- size of the total moment (μB/cell) = 0.00
- volume (A^3/atom) = 14.36
- electronic total energy (eV for the cell shown) = -101.349